MnCo3Se: optimized geometry, PBEsol.

Results
As for the crystal system: cubic. The calculated total energy comes out at -6.13 eV per atom. For the volume, the calculation gives 14.037 A^3/atom. The raw formation energy is 1.230 eV per atom.

Structure (CIF):
```
data_MnCo3Se
_chemical_formula_sum 'Mn1 Co3 Se1'
_space_group_name_H-M_alt 'P m -3 m'
_space_group_IT_number 221
_space_group_name_Hall '-P 4 2 3'
_cell_length_a 4.125
_cell_length_b 4.125
_cell_length_c 4.125
_cell_angle_alpha 90.00
_cell_angle_beta 90.00
_cell_angle_gamma 90.00
loop_
_atom_site_label
_atom_site_type_symbol
_atom_site_fract_x
_atom_site_fract_y
_atom_site_fract_z
Mn1 Mn 0.000 0.000 0.000
Co1 Co 0.000 0.000 0.500
Se1 Se 0.500 0.500 0.500
```